Crystalline Mn2InO4 at its relaxed geometry, computed with GGA+U.

Cell and atoms, written as POSCAR:
```
Mn2InO4
1.0
-3.202 3.202 4.328
3.202 -3.202 4.328
3.202 3.202 -4.328
Mn In O
4 2 8
direct
0.000 0.000 0.000
0.000 0.000 0.500
0.000 0.500 0.000
0.500 0.000 0.500
0.375 0.625 0.750
0.625 0.375 0.250
0.216 0.236 0.980
0.236 0.216 0.480
0.236 0.756 0.020
0.244 0.764 0.480
0.756 0.236 0.520
0.764 0.244 0.980
0.764 0.784 0.520
0.784 0.764 0.020
```

Calculated values
Energy above the lowest structure with this stoichiometry ... 0.00 eV/f.u.
Crystal system ... tetragonal